No. 1
Crystalline LiYCl at its relaxed geometry, computed with GGA-PBEsol.

Properties
- Calculated density: 3.11 g cm⁻³
- Total DFT energy (no corrections): -4.4321 eV/atom
- ΔE to the lowest computed polymorph: 0.0 meV per atom
- Uncorrected formation energy: -0.8332 eV/atom
- Magnetic moment: 0.278 μB per atom

Cell: 3.4539 3.4539 6.9631 Å, 97.28 97.28 119.28°
With the nearest neighbours (Å) after each atom.
Positions (direct):
1 Y 0.6508 0.6508 0.3015  2 Cl 2.80
2 Cl 0.9885 0.9885 0.9770  2 Li 2.45
3 Li 0.3607 0.3607 0.7214  2 Cl 2.45



No. 2
Crystalline LiZrCl2 at its relaxed geometry, computed with GGA-PBEsol.

Properties
- Calculated density: 3.77 g cm⁻³
- Total DFT energy (no corrections): -4.9044 eV/atom
- ΔE to the lowest computed polymorph: 0.0 meV per atom
- Uncorrected formation energy: -1.1364 eV/atom
- Magnetic moment: 0.000 μB per atom

Cell: 3.1206 3.4485 7.7683 Å, 90.00 90.00 116.90°
With the nearest neighbours (Å) after each atom.
Positions (direct):
1 Cl 0.0000 0.0000 0.2754  2 Li 2.34
2 Cl 0.0000 0.0000 0.7246  2 Li 2.34
3 Li 0.5000 0.0000 0.5000  4 Cl 2.34
4 Zr 0.5000 0.0000 0.0000  4 Cl 2.65



No. 3
Crystalline LiZrCl2 at its relaxed geometry, computed with GGA-PBEsol.

Properties
- Calculated density: 4.38 g cm⁻³
- Total DFT energy (no corrections): -4.5387 eV/atom
- ΔE to the lowest computed polymorph: 365.7 meV per atom
- Uncorrected formation energy: -0.7706 eV/atom
- Magnetic moment: 0.066 μB per atom

Cell: 4.4908 4.4911 4.4908 Å, 60.00 90.00 120.00°
With the nearest neighbours (Å) after each atom.
Positions (direct):
1 Li 0.5000 0.0000 0.5000  8 Cl 2.75
2 Cl 0.2500 0.5000 0.2500  4 Zr 2.75, 4 Li 2.75
3 Cl 0.7500 0.5000 0.7500  4 Li 2.75, 4 Zr 2.75
4 Zr 0.0000 0.0000 0.0000  8 Cl 2.75



No. 4
Crystalline LiZrCl2 at its relaxed geometry, computed with GGA-PBEsol.

Properties
- Calculated density: 3.96 g cm⁻³
- Total DFT energy (no corrections): -4.7877 eV/atom
- ΔE to the lowest computed polymorph: 116.8 meV per atom
- Uncorrected formation energy: -1.0196 eV/atom
- Magnetic moment: 0.236 μB per atom

Cell: 3.1903 4.3533 5.9905 Å, 68.04 74.56 68.50°
With the nearest neighbours (Å) after each atom.
Positions (direct):
1 Li 0.5000 0.0000 0.0000  4 Cl 2.45
2 Cl 0.7781 0.1865 0.2572  2 Li 2.45, 3 Zr 2.69-2.70
3 Cl 0.2219 0.8135 0.7428  2 Li 2.45, 3 Zr 2.69-2.70
4 Zr 0.0000 0.5000 0.5000  6 Cl 2.69-2.70



No. 5
Crystalline LiZrCl2 at its relaxed geometry, computed with GGA-PBEsol.

Properties
- Calculated density: 4.24 g cm⁻³
- Total DFT energy (no corrections): -4.7232 eV/atom
- ΔE to the lowest computed polymorph: 181.3 meV per atom
- Uncorrected formation energy: -0.9551 eV/atom
- Magnetic moment: 0.000 μB per atom

Cell: 3.2281 3.2281 6.3575 Å, 90.00 90.00 90.00°
With the nearest neighbours (Å) after each atom.
Positions (direct):
1 Cl 0.0000 0.0000 0.7395  4 Zr 2.74, 4 Li 2.82, 1 Cl 3.05
2 Cl 0.0000 0.0000 0.2605  4 Zr 2.74, 4 Li 2.82, 1 Cl 3.05
3 Zr 0.5000 0.5000 0.5000  8 Cl 2.74
4 Li 0.5000 0.5000 0.0000  8 Cl 2.82



No. 6
Crystalline LiZr3Cl at its relaxed geometry, computed with GGA-PBEsol.

Properties
- Calculated density: 4.82 g cm⁻³
- Total DFT energy (no corrections): -6.2134 eV/atom
- Uncorrected formation energy: 0.0354 eV/atom
- Magnetic moment: 0.000 μB per atom

Cell: 4.7740 4.7740 4.7740 Å, 90.00 90.00 90.00°
With the nearest neighbours (Å) after each atom.
Positions (direct):
1 Cl 0.0000 0.0000 0.0000  6 Zr 2.39
2 Zr 0.0000 0.5000 0.0000  2 Cl 2.39
3 Zr 0.0000 0.0000 0.5000  2 Cl 2.39
4 Zr 0.5000 0.0000 0.0000  2 Cl 2.39
5 Li 0.5000 0.5000 0.5000  12 Zr 3.38



No. 7
Crystalline LuSeClO3 at its relaxed geometry, computed with GGA-PBEsol.

Properties
- Calculated density: 5.46 g cm⁻³
- Total DFT energy (no corrections): -6.4809 eV/atom
- Uncorrected formation energy: -2.0678 eV/atom
- Magnetic moment: 0.000 μB per atom

Cell: 6.7651 7.0416 8.6117 Å, 90.00 90.00 90.00°
With the nearest neighbours (Å) after each atom.
Positions (direct):
1 O 0.0697 0.3580 0.9342  1 Se 1.74
2 O 0.2500 0.2498 0.6741  1 Se 1.69
3 O 0.9303 0.1420 0.4342  1 Se 1.74
4 O 0.5697 0.6420 0.0658  1 Se 1.74
5 O 0.4303 0.3580 0.9342  1 Se 1.74
6 O 0.4303 0.8580 0.5658  1 Se 1.74
7 O 0.7500 0.2502 0.1741  1 Se 1.69
8 O 0.0697 0.8580 0.5658  1 Se 1.74
9 O 0.9303 0.6420 0.0658  1 Se 1.74
10 O 0.7500 0.7502 0.3259  1 Se 1.69
11 O 0.5697 0.1420 0.4342  1 Se 1.74
12 O 0.2500 0.7498 0.8259  1 Se 1.69
13 Cl 0.2500 0.9383 0.1821  2 Lu 2.65-2.69
14 Cl 0.7500 0.5617 0.6821  2 Lu 2.65-2.69
15 Cl 0.7500 0.0617 0.8179  2 Lu 2.65-2.69
16 Cl 0.2500 0.4383 0.3179  2 Lu 2.65-2.69
17 Lu 0.7500 0.4017 0.9603  5 O 2.13-2.27
18 Lu 0.7500 0.9017 0.5397  5 O 2.13-2.27
19 Lu 0.2500 0.0983 0.4603  5 O 2.13-2.27
20 Lu 0.2500 0.5983 0.0397  5 O 2.13-2.27
21 Se 0.2500 0.7017 0.6337  3 O 1.69-1.74
22 Se 0.7500 0.7983 0.1337  3 O 1.69-1.74
23 Se 0.2500 0.2017 0.8663  3 O 1.69-1.74
24 Se 0.7500 0.2983 0.3663  3 O 1.69-1.74



No. 8
Crystalline Rb2LuCl5 at its relaxed geometry, computed with GGA-PBEsol.

Properties
- Calculated density: 3.64 g cm⁻³
- Total DFT energy (no corrections): -4.2783 eV/atom
- Uncorrected formation energy: -2.1580 eV/atom
- Magnetic moment: 0.000 μB per atom

Cell: 7.1469 9.2216 14.5019 Å, 90.00 90.00 90.00°
With the nearest neighbours (Å) after each atom.
Positions (direct):
1 Lu 0.2500 0.1864 0.0624  6 Cl 2.49-2.64
2 Lu 0.2500 0.6864 0.4376  6 Cl 2.49-2.64
3 Lu 0.7500 0.3136 0.5624  6 Cl 2.49-2.64
4 Lu 0.7500 0.8136 0.9376  6 Cl 2.49-2.64
5 Cl 0.2500 0.7826 0.6031  1 Lu 2.56
6 Cl 0.9911 0.8473 0.3864  1 Lu 2.49
7 Cl 0.0089 0.6527 0.8864  1 Lu 2.49
8 Cl 0.2500 0.2826 0.8969  1 Lu 2.56
9 Cl 0.5089 0.8473 0.3864  1 Lu 2.49
10 Cl 0.4911 0.1527 0.6136  1 Lu 2.49
11 Cl 0.4911 0.6527 0.8864  1 Lu 2.49
12 Cl 0.7500 0.9687 0.7947  1 Lu 2.52
13 Cl 0.5089 0.3473 0.1136  1 Lu 2.49
14 Cl 0.7500 0.7174 0.1031  1 Lu 2.56
15 Cl 0.7500 0.2174 0.3969  1 Lu 2.56
16 Cl 0.5000 0.5000 0.5000  2 Lu 2.64
17 Cl 0.5000 0.0000 0.0000  2 Lu 2.64
18 Cl 0.0089 0.1527 0.6136  1 Lu 2.49
19 Cl 0.2500 0.5313 0.2947  1 Lu 2.52
20 Cl 0.0000 0.5000 0.5000  2 Lu 2.64
21 Cl 0.0000 0.0000 0.0000  2 Lu 2.64
22 Cl 0.7500 0.4687 0.7053  1 Lu 2.52
23 Cl 0.2500 0.0313 0.2053  1 Lu 2.52
24 Cl 0.9911 0.3473 0.1136  1 Lu 2.49
25 Rb 0.7500 0.0327 0.2080  8 Cl 3.23-3.57
26 Rb 0.2500 0.4673 0.7080  8 Cl 3.23-3.57
27 Rb 0.7500 0.5327 0.2920  8 Cl 3.23-3.57
28 Rb 0.2500 0.9673 0.7920  8 Cl 3.23-3.57
29 Rb 0.7500 0.3293 0.9140  7 Cl 3.29-3.61
30 Rb 0.2500 0.1707 0.4140  7 Cl 3.29-3.61
31 Rb 0.7500 0.8293 0.5860  7 Cl 3.29-3.61
32 Rb 0.2500 0.6707 0.0860  7 Cl 3.29-3.61



No. 9
Crystalline MgCl3 at its relaxed geometry, computed with GGA-PBEsol.

Properties
- Calculated density: 2.71 g cm⁻³
- Total DFT energy (no corrections): -2.4726 eV/atom
- Uncorrected formation energy: -0.5374 eV/atom
- Magnetic moment: 0.259 μB per atom

Cell: 4.3114 4.3114 4.3114 Å, 90.00 90.00 90.00°
With the nearest neighbours (Å) after each atom.
Positions (direct):
1 Mg 0.0000 0.0000 0.0000  12 Cl 3.05
2 Cl 0.0000 0.5000 0.5000  8 Cl 3.05, 4 Mg 3.05
3 Cl 0.5000 0.5000 0.0000  8 Cl 3.05, 4 Mg 3.05
4 Cl 0.5000 0.0000 0.5000  8 Cl 3.05, 4 Mg 3.05



No. 10
Crystalline MgCl5 at its relaxed geometry, computed with GGA-PBEsol.

Properties
- Calculated density: 2.10 g cm⁻³
- Total DFT energy (no corrections): -2.6821 eV/atom
- Uncorrected formation energy: -0.7227 eV/atom
- Magnetic moment: 0.133 μB per atom

Cell: 3.4762 6.6721 7.3985 Å, 73.54 103.59 90.00°
With the nearest neighbours (Å) after each atom.
Positions (direct):
1 Cl 0.9300 0.4270 0.8600  1 Cl 2.02
2 Cl 0.3697 0.7678 0.7395  1 Mg 2.45
3 Cl 0.9884 0.1133 0.9768  1 Cl 2.02
4 Cl 0.7146 0.1752 0.4292  2 Mg 2.43
5 Cl 0.6366 0.7457 0.2732  2 Mg 2.44
6 Mg 0.1940 0.9377 0.3881  5 Cl 2.43-2.45



No. 11
Crystalline MgCl3 at its relaxed geometry, computed with GGA-PBEsol.

Properties
- Calculated density: 2.26 g cm⁻³
- Total DFT energy (no corrections): -2.8196 eV/atom
- Uncorrected formation energy: -0.8844 eV/atom
- Magnetic moment: 0.000 μB per atom

Cell: 3.8824 3.8824 6.3553 Å, 90.00 90.00 90.00°
With the nearest neighbours (Å) after each atom.
Positions (direct):
1 Cl 0.5000 0.0000 0.9906  2 Mg 2.56, 4 Cl 2.75
2 Cl 0.5000 0.5000 0.4335  4 Mg 2.98
3 Cl 0.0000 0.5000 0.9906  2 Mg 2.56, 4 Cl 2.75
4 Mg 0.0000 0.0000 0.2532  4 Cl 2.56



No. 12
Crystalline MgCl at its relaxed geometry, computed with GGA-PBEsol.

Properties
- Calculated density: 1.74 g cm⁻³
- Total DFT energy (no corrections): -2.5070 eV/atom
- Uncorrected formation energy: -0.6444 eV/atom
- Magnetic moment: 0.000 μB per atom

Cell: 5.8862 5.8862 7.6045 Å, 90.00 90.00 120.00°
With the nearest neighbours (Å) after each atom.
Positions (direct):
1 Cl 0.3333 0.6667 0.0460  1 Mg 2.25
2 Cl 0.6667 0.3333 0.9540  1 Mg 2.25
3 Cl 0.3333 0.6667 0.4540  1 Mg 2.25
4 Cl 0.6667 0.3333 0.5460  1 Mg 2.25
5 Mg 0.3333 0.6667 0.7500  2 Cl 2.25
6 Mg 0.6667 0.3333 0.2500  2 Cl 2.25
7 Mg 0.0000 0.0000 0.7500  5 Mg 3.40-3.80, 6 Cl 3.74
8 Mg 0.0000 0.0000 0.2500  5 Mg 3.40-3.80, 6 Cl 3.74



No. 13
Crystalline MgCl at its relaxed geometry, computed with GGA-PBEsol.

Properties
- Calculated density: 2.18 g cm⁻³
- Total DFT energy (no corrections): -3.0520 eV/atom
- Uncorrected formation energy: -1.1895 eV/atom
- Magnetic moment: 0.000 μB per atom

Cell: 3.4448 5.6348 5.6314 Å, 123.62 90.00 90.00°
With the nearest neighbours (Å) after each atom.
Positions (direct):
1 Mg 0.7500 0.1263 0.3739  4 Cl 2.56-2.72
2 Mg 0.2500 0.8737 0.6261  4 Cl 2.56-2.72
3 Cl 0.2500 0.3174 0.1825  4 Mg 2.56-2.72
4 Cl 0.7500 0.6826 0.8175  4 Mg 2.56-2.72



No. 14
Crystalline MgCl at its relaxed geometry, computed with GGA-PBEsol.

Properties
- Calculated density: 2.40 g cm⁻³
- Total DFT energy (no corrections): -2.6328 eV/atom
- Uncorrected formation energy: -0.7703 eV/atom
- Magnetic moment: 0.004 μB per atom

Cell: 3.4503 3.4503 4.0109 Å, 90.00 90.00 120.00°
With the nearest neighbours (Å) after each atom.
Positions (direct):
1 Cl 0.0000 0.0000 0.0000  6 Mg 2.83
2 Mg 0.3333 0.6667 0.5000  6 Cl 2.83



No. 15
Crystalline MgCl at its relaxed geometry, computed with GGA-PBEsol.

Properties
- Calculated density: 1.99 g cm⁻³
- Total DFT energy (no corrections): -2.4716 eV/atom
- Uncorrected formation energy: -0.6091 eV/atom
- Magnetic moment: 0.000 μB per atom

Cell: 4.3932 4.3932 5.1588 Å, 90.00 90.00 90.00°
With the nearest neighbours (Å) after each atom.
Positions (direct):
1 Mg 0.0000 0.0000 0.0000  4 Cl 2.81, 4 Mg 3.11
2 Mg 0.5000 0.5000 0.0000  4 Cl 2.81, 4 Mg 3.11
3 Cl 0.0000 0.5000 0.6597  4 Mg 2.81
4 Cl 0.5000 0.0000 0.3403  4 Mg 2.81



No. 16
Crystalline MgCl3 at its relaxed geometry, computed with GGA-PBEsol.

Properties
- Calculated density: 2.77 g cm⁻³
- Total DFT energy (no corrections): -2.6039 eV/atom
- Uncorrected formation energy: -0.6687 eV/atom
- Magnetic moment: 0.000 μB per atom

Cell: 3.9360 3.9360 5.7656 Å, 109.96 109.96 90.00°
With the nearest neighbours (Å) after each atom.
Positions (direct):
1 Mg 0.0000 0.0000 0.0000  4 Cl 2.78
2 Cl 0.5000 0.5000 0.0000  4 Mg 2.78
3 Cl 0.7500 0.2500 0.5000  4 Cl 2.78
4 Cl 0.2500 0.7500 0.5000  4 Cl 2.78



No. 17
Crystalline MgCl3 at its relaxed geometry, computed with GGA-PBEsol.

Properties
- Calculated density: 2.31 g cm⁻³
- Total DFT energy (no corrections): -2.9585 eV/atom
- Uncorrected formation energy: -1.0232 eV/atom
- Magnetic moment: 0.248 μB per atom

Cell: 3.4598 5.0560 6.1901 Å, 114.10 106.23 90.00°
With the nearest neighbours (Å) after each atom.
Positions (direct):
1 Cl 0.3409 0.3409 0.6817  2 Mg 2.43
2 Cl 0.6591 0.6591 0.3183  2 Mg 2.43
3 Cl 0.5000 0.0000 0.0000  4 Cl 3.05, 4 Mg 3.06
4 Mg 0.0000 0.5000 0.0000  4 Cl 2.43



No. 18
Crystalline Mg2Cl at its relaxed geometry, computed with GGA-PBEsol.

Properties
- Calculated density: 1.67 g cm⁻³
- Total DFT energy (no corrections): -1.7749 eV/atom
- Uncorrected formation energy: 0.0392 eV/atom
- Magnetic moment: 0.144 μB per atom

Cell: 4.9049 4.9049 4.9049 Å, 60.00 60.00 60.00°
With the nearest neighbours (Å) after each atom.
Positions (direct):
1 Mg 0.7500 0.7500 0.7500  4 Cl 3.00
2 Mg 0.2500 0.2500 0.2500  4 Cl 3.00
3 Cl 0.0000 0.0000 0.0000  8 Mg 3.00



No. 19
Crystalline MgMnCl3 at its relaxed geometry, computed with GGA-PBEsol.

Properties
- Calculated density: 2.62 g cm⁻³
- Total DFT energy (no corrections): -4.2170 eV/atom
- Uncorrected formation energy: -0.7166 eV/atom
- Magnetic moment: 0.855 μB per atom

Cell: 4.8989 4.8989 4.8989 Å, 90.00 90.00 90.00°
With the nearest neighbours (Å) after each atom.
Positions (direct):
1 Cl 0.5000 0.0000 0.0000  2 Mn 2.45
2 Cl 0.0000 0.0000 0.5000  2 Mn 2.45
3 Cl 0.0000 0.5000 0.0000  2 Mn 2.45
4 Mn 0.0000 0.0000 0.0000  6 Cl 2.45
5 Mg 0.5000 0.5000 0.5000  12 Cl 3.46



No. 20
Crystalline MgMnCl2 at its relaxed geometry, computed with GGA-PBEsol.

Properties
- Calculated density: 2.88 g cm⁻³
- Total DFT energy (no corrections): -4.4910 eV/atom
- ΔE to the lowest computed polymorph: 0.0 meV per atom
- Uncorrected formation energy: -0.6175 eV/atom
- Magnetic moment: 1.101 μB per atom

Cell: 3.2649 3.2649 8.5955 Å, 90.00 90.00 108.93°
With the nearest neighbours (Å) after each atom.
Positions (direct):
1 Mg 0.0000 0.0000 0.5051  2 Cl 2.41
2 Mn 0.5000 0.5000 0.2427  2 Cl 2.39
3 Cl 0.0000 0.0000 0.0735  2 Mn 2.39
4 Cl 0.5000 0.5000 0.6787  2 Mg 2.41